An optimized crystal structure of Ho2ScBi, computed with PBE.

```
4
Lattice="-1.399 2.891 3.561 -4.219 0.519 -2.079 -1.639 -3.740 2.392" Properties=species:S:1:pos:R:3 pbc="T T T"
Bi -3.629 -0.165 1.937
Ho -2.110 0.260 -1.040
Ho -0.820 -1.870 1.196
Sc -0.699 1.446 1.780
```

Computed properties:
formation energy from the elements	-301	meV/atom
VASP energy	-5.143	eV per atom
energy relative to the lowest polymorph listed for this composition	61.1	meV/atom